[1]
First-principles (meta-GGA SCAN) data for a crystal of Tc2MoSe relaxed with PBEsol, as listed in Alexandria via LeMat-Bulk.

Lattice parameters (Å, degrees): 2.851 4.019 5.283 90.00 104.54 90.00
Fractional positions:
Tc: 0.000 0.000 0.000
Tc: 0.360 0.500 0.747
Mo: 0.666 0.500 0.255
Se: 0.269 0.000 0.476

Output
Uncorrected formation energy: 0.90 eV per formula unit
Density of states at the Fermi level: 2.88 states/eV per cell

[2]
First-principles (meta-GGA SCAN) data for a crystal of TeMoSe relaxed with PBEsol, as listed in Alexandria via LeMat-Bulk.

Lattice parameters (Å, degrees): 4.537 4.537 4.537 60.00 60.00 60.00
Fractional positions:
Te: 0.000 0.000 0.000
Mo: 0.250 0.250 0.250
Se: 0.500 0.500 0.500

Output
Uncorrected formation energy: 0.22 eV per formula unit
Density of states at the Fermi level: 1.89 states/eV per cell

[3]
First-principles (meta-GGA SCAN) data for a crystal of TeMoSe relaxed with PBEsol, as listed in Alexandria via LeMat-Bulk.

Lattice parameters (Å, degrees): 3.375 3.375 27.025 90.00 90.00 120.00
Fractional positions:
Te: 0.333 0.667 0.300
Te: 0.333 0.667 0.437
Te: 0.667 0.333 0.563
Te: 0.667 0.333 0.700
Mo: 0.333 0.667 0.119
Mo: 0.333 0.667 0.632
Mo: 0.667 0.333 0.368
Mo: 0.667 0.333 0.881
Se: 0.333 0.667 0.821
Se: 0.333 0.667 0.942
Se: 0.667 0.333 0.058
Se: 0.667 0.333 0.179

Output
Uncorrected formation energy: -1.38 eV per formula unit

[4]
First-principles (meta-GGA SCAN) data for a crystal of TeMo2Se relaxed with PBEsol, as listed in Alexandria via LeMat-Bulk.

Lattice parameters (Å, degrees): 4.540 4.540 4.540 60.00 60.00 60.00
Fractional positions:
Te: 0.000 0.000 0.000
Mo: 0.250 0.250 0.250
Mo: 0.750 0.750 0.750
Se: 0.500 0.500 0.500

Output
Uncorrected formation energy: 1.26 eV per formula unit
Density of states at the Fermi level: 3.26 states/eV per cell

[5]
First-principles (meta-GGA SCAN) data for a crystal of TeMoSe2 relaxed with PBEsol, as listed in Alexandria via LeMat-Bulk.

Lattice parameters (Å, degrees): 4.725 4.725 4.725 60.00 60.00 60.00
Fractional positions:
Te: 0.000 0.000 0.000
Mo: 0.750 0.750 0.750
Se: 0.250 0.250 0.250
Se: 0.500 0.500 0.500

Output
Uncorrected formation energy: 2.64 eV per formula unit
Density of states at the Fermi level: 2.80 states/eV per cell

[6]
First-principles (meta-GGA SCAN) data for a crystal of TeMoSe2 relaxed with PBEsol, as listed in Alexandria via LeMat-Bulk.

Lattice parameters (Å, degrees): 3.366 3.366 7.106 90.00 90.00 90.00
Fractional positions:
Te: 0.000 0.000 0.000
Mo: 0.500 0.500 0.242
Se: 0.000 0.000 0.421
Se: 0.500 0.500 0.622

Output
Uncorrected formation energy: 0.85 eV per formula unit
Density of states at the Fermi level: 2.48 states/eV per cell

[7]
First-principles (meta-GGA SCAN) data for a crystal of TeMoSe2 relaxed with PBEsol, as listed in Alexandria via LeMat-Bulk.

Lattice parameters (Å, degrees): 6.367 6.367 5.986 115.32 115.32 27.76
Fractional positions:
Te: 0.000 0.000 0.000
Mo: 0.674 0.674 0.353
Se: 0.173 0.173 0.676
Se: 0.326 0.326 0.332

Output
Uncorrected formation energy: -0.81 eV per formula unit
Density of states at the Fermi level: 1.53 states/eV per cell

[8]
First-principles (meta-GGA SCAN) data for a crystal of TeMoSe2 relaxed with PBEsol, as listed in Alexandria via LeMat-Bulk.

Lattice parameters (Å, degrees): 9.878 9.878 9.878 18.79 18.79 18.79
Fractional positions:
Te: 0.000 0.000 0.000
Mo: 0.500 0.500 0.500
Se: 0.226 0.226 0.226
Se: 0.774 0.774 0.774

Output
Uncorrected formation energy: -0.91 eV per formula unit
Density of states at the Fermi level: 1.21 states/eV per cell

[9]
First-principles (meta-GGA SCAN) data for a crystal of TeMoSe2 relaxed with PBEsol, as listed in Alexandria via LeMat-Bulk.

Lattice parameters (Å, degrees): 5.456 5.456 3.263 90.00 90.00 120.98
Fractional positions:
Te: 0.000 0.000 0.000
Mo: 0.500 0.500 0.000
Se: 0.299 0.701 0.500
Se: 0.701 0.299 0.500

Output
Uncorrected formation energy: -0.38 eV per formula unit
Density of states at the Fermi level: 2.35 states/eV per cell

[10]
First-principles (meta-GGA SCAN) data for a crystal of TeMoSe2 relaxed with PBEsol, as listed in Alexandria via LeMat-Bulk.

Lattice parameters (Å, degrees): 4.796 4.796 3.251 90.00 90.00 90.00
Fractional positions:
Te: 0.000 0.000 0.000
Mo: 0.500 0.500 0.000
Se: 0.000 0.500 0.500
Se: 0.500 0.000 0.500

Output
Uncorrected formation energy: 2.53 eV per formula unit
Density of states at the Fermi level: 2.47 states/eV per cell

[11]
First-principles (meta-GGA SCAN) data for a crystal of TeMoSe relaxed with PBEsol, as listed in Alexandria via LeMat-Bulk.

Lattice parameters (Å, degrees): 3.374 3.374 13.514 90.00 90.00 120.00
Fractional positions:
Te: 0.000 0.000 0.137
Te: 0.000 0.000 0.863
Mo: 0.000 0.000 0.500
Mo: 0.667 0.333 0.000
Se: 0.667 0.333 0.379
Se: 0.667 0.333 0.621

Output
Uncorrected formation energy: -1.38 eV per formula unit

[12]
First-principles (meta-GGA SCAN) data for a crystal of Te2MoW2Se4 relaxed with PBEsol, as listed in Alexandria via LeMat-Bulk.

Lattice parameters (Å, degrees): 3.338 3.338 20.948 90.00 90.00 120.00
Fractional positions:
Te: 0.000 0.000 0.089
Te: 0.000 0.000 0.911
Mo: 0.667 0.333 0.000
W: 0.000 0.000 0.325
W: 0.000 0.000 0.675
Se: 0.667 0.333 0.246
Se: 0.667 0.333 0.404
Se: 0.667 0.333 0.596
Se: 0.667 0.333 0.754

Output
Uncorrected formation energy: -3.74 eV per formula unit

[13]
First-principles (meta-GGA SCAN) data for a crystal of Te2MoW3Se6 relaxed with PBEsol, as listed in Alexandria via LeMat-Bulk.

Lattice parameters (Å, degrees): 3.321 3.321 26.742 90.00 90.00 120.00
Fractional positions:
Te: 0.000 0.000 0.000
Te: 0.000 0.000 0.140
Mo: 0.667 0.333 0.070
W: 0.000 0.000 0.326
W: 0.000 0.000 0.814
W: 0.667 0.333 0.569
Se: 0.000 0.000 0.507
Se: 0.000 0.000 0.632
Se: 0.667 0.333 0.264
Se: 0.667 0.333 0.388
Se: 0.667 0.333 0.752
Se: 0.667 0.333 0.876

Output
Uncorrected formation energy: -5.34 eV per formula unit

[14]
First-principles (meta-GGA SCAN) data for a crystal of TlMo2Se relaxed with PBEsol, as listed in Alexandria via LeMat-Bulk.

Lattice parameters (Å, degrees): 4.551 4.551 4.551 60.00 60.00 60.00
Fractional positions:
Tl: 0.000 0.000 0.000
Mo: 0.250 0.250 0.250
Mo: 0.750 0.750 0.750
Se: 0.500 0.500 0.500

Output
Uncorrected formation energy: 3.07 eV per formula unit
Density of states at the Fermi level: 5.12 states/eV per cell

[15]
First-principles (meta-GGA SCAN) data for a crystal of TlMo3Se relaxed with PBEsol, as listed in Alexandria via LeMat-Bulk.

Lattice parameters (Å, degrees): 4.933 4.933 4.933 90.00 90.00 90.00
Fractional positions:
Tl: 0.000 0.000 0.000
Mo: 0.000 0.000 0.500
Mo: 0.000 0.500 0.000
Mo: 0.500 0.000 0.000
Se: 0.500 0.500 0.500

Output
Uncorrected formation energy: 14.28 eV per formula unit
Density of states at the Fermi level: 8.60 states/eV per cell

[16]
First-principles (meta-GGA SCAN) data for a crystal of Tl2Mo9Se11 relaxed with PBEsol, as listed in Alexandria via LeMat-Bulk.

Lattice parameters (Å, degrees): 13.252 13.252 13.252 42.21 42.21 42.21
Fractional positions:
Tl: 0.171 0.171 0.171
Tl: 0.268 0.268 0.268
Tl: 0.732 0.732 0.732
Tl: 0.829 0.829 0.829
Mo: 0.048 0.184 0.862
Mo: 0.138 0.952 0.816
Mo: 0.184 0.862 0.048
Mo: 0.257 0.573 0.390
Mo: 0.304 0.480 0.625
Mo: 0.375 0.696 0.520
Mo: 0.390 0.257 0.573
Mo: 0.427 0.610 0.743
Mo: 0.480 0.625 0.304
Mo: 0.520 0.375 0.696
Mo: 0.573 0.390 0.257
Mo: 0.610 0.743 0.427
Mo: 0.625 0.304 0.480
Mo: 0.696 0.520 0.375
Mo: 0.743 0.427 0.610
Mo: 0.816 0.138 0.952
Mo: 0.862 0.048 0.184
Mo: 0.952 0.816 0.138
Se: 0.009 0.266 0.645
Se: 0.084 0.444 0.708
Se: 0.086 0.086 0.086
Se: 0.164 0.792 0.447
Se: 0.208 0.553 0.836
Se: 0.266 0.645 0.009
Se: 0.292 0.916 0.556
Se: 0.351 0.351 0.351
Se: 0.355 0.991 0.734
Se: 0.444 0.708 0.084
Se: 0.447 0.164 0.792
Se: 0.553 0.836 0.208
Se: 0.556 0.292 0.916
Se: 0.645 0.009 0.266
Se: 0.649 0.649 0.649
Se: 0.708 0.084 0.444
Se: 0.734 0.355 0.991
Se: 0.792 0.447 0.164
Se: 0.836 0.208 0.553
Se: 0.914 0.914 0.914
Se: 0.916 0.556 0.292
Se: 0.991 0.734 0.355

Output
Uncorrected formation energy: -12.09 eV per formula unit
Density of states at the Fermi level: 21.78 states/eV per cell

[17]
First-principles (meta-GGA SCAN) data for a crystal of TlMo3Se3 relaxed with PBEsol, as listed in Alexandria via LeMat-Bulk.

Lattice parameters (Å, degrees): 8.866 8.866 4.468 90.00 90.00 120.00
Fractional positions:
Tl: 0.333 0.667 0.250
Tl: 0.667 0.333 0.750
Mo: 0.033 0.847 0.250
Mo: 0.153 0.186 0.250
Mo: 0.186 0.033 0.750
Mo: 0.814 0.967 0.250
Mo: 0.847 0.814 0.750
Mo: 0.967 0.153 0.750
Se: 0.067 0.699 0.750
Se: 0.301 0.367 0.750
Se: 0.367 0.067 0.250
Se: 0.633 0.933 0.750
Se: 0.699 0.633 0.250
Se: 0.933 0.301 0.250

Output
Uncorrected formation energy: -3.75 eV per formula unit
Density of states at the Fermi level: 1.05 states/eV per cell

[18]
First-principles (meta-GGA SCAN) data for a crystal of TlMo2Se relaxed with PBEsol, as listed in Alexandria via LeMat-Bulk.

Lattice parameters (Å, degrees): 4.568 4.568 3.197 90.00 90.00 90.00
Fractional positions:
Tl: 0.000 0.000 0.000
Mo: 0.000 0.500 0.500
Mo: 0.500 0.000 0.500
Se: 0.500 0.500 0.000

Output
Uncorrected formation energy: 2.91 eV per formula unit
Density of states at the Fermi level: 3.43 states/eV per cell

[19]
First-principles (meta-GGA SCAN) data for a crystal of TlMo2Se relaxed with PBEsol, as listed in Alexandria via LeMat-Bulk.

Lattice parameters (Å, degrees): 5.208 5.208 3.131 102.98 102.98 113.94
Fractional positions:
Tl: 0.000 0.000 0.000
Mo: 0.000 0.500 0.500
Mo: 0.500 0.000 0.500
Se: 0.500 0.500 0.000

Output
Uncorrected formation energy: 3.60 eV per formula unit
Density of states at the Fermi level: 3.77 states/eV per cell

[20]
First-principles (meta-GGA SCAN) data for a crystal of Tl2Mo15Se19 relaxed with PBEsol, as listed in Alexandria via LeMat-Bulk.

Lattice parameters (Å, degrees): 20.112 20.112 20.112 27.55 27.55 27.55
Fractional positions:
Tl: 0.110 0.110 0.110
Tl: 0.390 0.390 0.390
Tl: 0.610 0.610 0.610
Tl: 0.890 0.890 0.890
Mo: 0.002 0.129 0.810
Mo: 0.045 0.364 0.224
Mo: 0.090 0.250 0.410
Mo: 0.129 0.810 0.002
Mo: 0.136 0.455 0.276
Mo: 0.190 0.998 0.871
Mo: 0.224 0.045 0.364
Mo: 0.250 0.410 0.090
Mo: 0.276 0.136 0.455
Mo: 0.310 0.629 0.502
Mo: 0.364 0.224 0.045
Mo: 0.371 0.498 0.690
Mo: 0.410 0.090 0.250
Mo: 0.455 0.276 0.136
Mo: 0.498 0.690 0.371
Mo: 0.502 0.310 0.629
Mo: 0.545 0.724 0.864
Mo: 0.590 0.910 0.750
Mo: 0.629 0.502 0.310
Mo: 0.636 0.776 0.955
Mo: 0.690 0.371 0.498
Mo: 0.724 0.864 0.545
Mo: 0.750 0.590 0.910
Mo: 0.776 0.955 0.636
Mo: 0.810 0.002 0.129
Mo: 0.864 0.545 0.724
Mo: 0.871 0.190 0.998
Mo: 0.910 0.750 0.590
Mo: 0.955 0.636 0.776
Mo: 0.998 0.871 0.190
Se: 0.039 0.685 0.419
Se: 0.054 0.054 0.054
Se: 0.058 0.304 0.687
Se: 0.061 0.439 0.750
Se: 0.081 0.815 0.461
Se: 0.176 0.176 0.176
Se: 0.185 0.539 0.919
Se: 0.187 0.804 0.558
Se: 0.196 0.442 0.813
Se: 0.250 0.939 0.561
Se: 0.304 0.687 0.058
Se: 0.313 0.942 0.696
Se: 0.315 0.581 0.961
Se: 0.324 0.324 0.324
Se: 0.419 0.039 0.685
Se: 0.439 0.750 0.061
Se: 0.442 0.813 0.196
Se: 0.446 0.446 0.446
Se: 0.461 0.081 0.815
Se: 0.539 0.919 0.185
Se: 0.554 0.554 0.554
Se: 0.558 0.187 0.804
Se: 0.561 0.250 0.939
Se: 0.581 0.961 0.315
Se: 0.676 0.676 0.676
Se: 0.685 0.419 0.039
Se: 0.687 0.058 0.304
Se: 0.696 0.313 0.942
Se: 0.750 0.061 0.439
Se: 0.804 0.558 0.187
Se: 0.813 0.196 0.442
Se: 0.815 0.461 0.081
Se: 0.824 0.824 0.824
Se: 0.919 0.185 0.539
Se: 0.939 0.561 0.250
Se: 0.942 0.696 0.313
Se: 0.946 0.946 0.946
Se: 0.961 0.315 0.581

Output
Uncorrected formation energy: -19.91 eV per formula unit
Density of states at the Fermi level: 34.61 states/eV per cell